[1]
Here is CuSiB after structural relaxation from Alexandria. Energies are from PBE.

Formation energy without anion corrections in kcal/mol of atoms: 6.9
Space group: Pnma

a = 7.3058 Å, b = 3.3548 Å, c = 5.9532 Å
α = 90.00°, β = 90.00°, γ = 90.00°
Positions (direct):
Cu1 0.0369 0.2500 0.1582
Cu2 0.4631 0.7500 0.6582
Cu3 0.5369 0.2500 0.3418
Cu4 0.9631 0.7500 0.8418
Si1 0.2181 0.2500 0.4968
Si2 0.2819 0.7500 0.9968
Si3 0.7181 0.2500 0.0032
Si4 0.7819 0.7500 0.5032
B1 0.2074 0.2500 0.8300
B2 0.2926 0.7500 0.3300
B3 0.7074 0.2500 0.6700
B4 0.7926 0.7500 0.1700

=====

[2]
Here is GeBiAu6 after structural relaxation from Alexandria. Energies are from PBE.

Calculated formation energy in eV per atom: 0.06
Space group: P4/mmm

a = 4.0639 Å, b = 4.0639 Å, c = 10.3000 Å
α = 90.00°, β = 90.00°, γ = 90.00°
Positions (direct):
Ge1 0.0000 0.0000 0.0000
Bi1 0.0000 0.0000 0.5000
Au1 0.0000 0.5000 0.1716
Au2 0.0000 0.5000 0.8284
Au3 0.5000 0.0000 0.1716
Au4 0.5000 0.0000 0.8284
Au5 0.5000 0.5000 0.3677
Au6 0.5000 0.5000 0.6323

=====

[3]
Here is MnTl2Hg after structural relaxation from Alexandria. Energies are from PBE.

Calculated formation energy in eV per atom: 0.29
Space group: R3m
Relative energy among the computed polymorphs in eV/f.u.: 0.09

a = 9.9460 Å, b = 9.9460 Å, c = 9.9460 Å
α = 19.95°, β = 19.95°, γ = 19.95°
Positions (direct):
Mn1 0.0000 0.0000 0.0000
Tl1 0.5083 0.5083 0.5083
Tl2 0.7428 0.7428 0.7428
Hg1 0.2650 0.2650 0.2650